1.
! Tb2Dy3ScAs6 (PBE, optimized geometry); values from VASP
&SYSTEM
  ibrav = 0, nat = 12, ntyp = 4
/
ATOMIC_SPECIES
Tb 158.93 Tb.upf
Dy 162.50 Dy.upf
Sc 44.96 Sc.upf
As 74.92 As.upf
CELL_PARAMETERS angstrom
-1.451 2.908 2.486
-5.508 2.097 -5.667
-3.519 -7.659 3.539
ATOMIC_POSITIONS crystal
Tb 0.835 0.669 0.669
Tb 0.165 0.331 0.331
Dy 0.500 0.500 0.000
Dy 0.833 0.166 0.665
Dy 0.167 0.834 0.335
Sc 0.500 0.000 0.000
As 0.337 0.920 0.674
As 0.666 0.584 0.333
As 0.663 0.080 0.326
As 0.999 0.240 0.998
As 0.001 0.760 0.002
As 0.334 0.416 0.667
! Density of states at the Fermi level = 1.8 states/eV/cell
! Formation energy = -1734 kJ/mol of formula units

***

2.
! Tb3Dy2ScAs6 (PBE, optimized geometry); values from VASP
&SYSTEM
  ibrav = 0, nat = 12, ntyp = 4
/
ATOMIC_SPECIES
Tb 158.93 Tb.upf
Dy 162.50 Dy.upf
Sc 44.96 Sc.upf
As 74.92 As.upf
CELL_PARAMETERS angstrom
-0.940 -3.322 2.202
-1.627 -4.105 -6.887
9.144 0.082 0.218
ATOMIC_POSITIONS crystal
Tb 0.500 0.500 0.000
Tb 0.833 0.166 0.665
Tb 0.167 0.834 0.335
Dy 0.834 0.668 0.669
Dy 0.166 0.332 0.331
Sc 0.500 0.000 0.000
As 0.337 0.918 0.675
As 0.667 0.583 0.334
As 0.663 0.082 0.325
As 0.000 0.239 0.999
As 0.000 0.761 0.001
As 0.333 0.417 0.666
! Density of states at the Fermi level = 1.8 states/eV/cell
! Formation energy = -1736 kJ/mol of formula units

***

3.
! TbDy2Sc3As6 (PBE, optimized geometry); values from VASP
&SYSTEM
  ibrav = 0, nat = 12, ntyp = 4
/
ATOMIC_SPECIES
Tb 158.93 Tb.upf
Dy 162.50 Dy.upf
Sc 44.96 Sc.upf
As 74.92 As.upf
CELL_PARAMETERS angstrom
6.945 -0.001 0.002
-3.472 6.015 0.002
-1.158 -2.004 6.521
ATOMIC_POSITIONS crystal
Tb 0.000 0.000 0.000
Dy 0.333 0.667 0.000
Dy 0.667 0.333 0.000
Sc 0.166 0.834 0.500
Sc 0.834 0.166 0.500
Sc 0.500 0.500 0.500
As 0.912 0.577 0.735
As 0.754 0.754 0.265
As 0.088 0.423 0.265
As 0.577 0.912 0.735
As 0.246 0.246 0.735
As 0.423 0.088 0.265
! Density of states at the Fermi level = 2.0 states/eV/cell
! Formation energy = -1673 kJ/mol of formula units